Entry 1:
The following is a PBE-GGA calculation of a geometry-optimized LiGa5O8 structure, from the Alexandria database.

Computed properties:
Space group: F-43m (216)

a = 5.918 Å, b = 5.918 Å, c = 5.918 Å
α = 60.00°, β = 60.00°, γ = 60.00°
Positions (direct):
Li 0.000 0.000 0.000
Ga 0.370 0.370 0.370
Ga 0.370 0.370 0.889
Ga 0.370 0.889 0.370
Ga 0.750 0.750 0.750
Ga 0.889 0.370 0.370
O 0.135 0.135 0.135
O 0.135 0.135 0.596
O 0.135 0.596 0.135
O 0.149 0.617 0.617
O 0.596 0.135 0.135
O 0.617 0.149 0.617
O 0.617 0.617 0.149
O 0.617 0.617 0.617

***

Entry 2:
The following is a PBE-GGA calculation of a geometry-optimized Ti2RuBr structure, from the Alexandria database.

Computed properties:
Space group: I-42d (122)

a = 6.897 Å, b = 6.897 Å, c = 5.945 Å
α = 90.00°, β = 90.00°, γ = 90.00°
Positions (direct):
Ti 0.236 0.250 0.125
Ti 0.250 0.736 0.375
Ti 0.250 0.764 0.875
Ti 0.264 0.250 0.625
Ti 0.736 0.750 0.625
Ti 0.750 0.236 0.875
Ti 0.750 0.264 0.375
Ti 0.764 0.750 0.125
Ru 0.000 0.000 0.000
Ru 0.000 0.500 0.250
Ru 0.500 0.000 0.750
Ru 0.500 0.500 0.500
Br 0.000 0.000 0.500
Br 0.000 0.500 0.750
Br 0.500 0.000 0.250
Br 0.500 0.500 0.000

***

Entry 3:
The following is a PBE-GGA calculation of a geometry-optimized NiAs2Pb structure, from the Alexandria database.

Computed properties:
Space group: C2/m (12)

a = 6.521 Å, b = 3.720 Å, c = 7.117 Å
α = 90.00°, β = 106.57°, γ = 90.00°
Positions (direct):
Ni 0.000 0.000 0.000
Ni 0.500 0.500 0.000
As 0.218 0.500 0.159
As 0.282 0.000 0.841
As 0.718 0.000 0.159
As 0.782 0.500 0.841
Pb 0.000 0.500 0.500
Pb 0.500 0.000 0.500

***

Entry 4:
The following is a PBE-GGA calculation of a geometry-optimized BeAlAs structure, from the Alexandria database.

Computed properties:
Space group: P3m1 (156)

a = 3.594 Å, b = 3.594 Å, c = 4.287 Å
α = 90.00°, β = 90.00°, γ = 120.00°
Positions (direct):
Be 0.000 0.000 0.000
Al 0.667 0.333 0.620
As 0.333 0.667 0.193

***

Entry 5:
The following is a PBE-GGA calculation of a geometry-optimized SmInGaPd3 structure, from the Alexandria database.

Computed properties:
Space group: Cmcm (63)

a = 7.268 Å, b = 7.268 Å, c = 6.202 Å
α = 90.00°, β = 90.00°, γ = 133.23°
Positions (direct):
Sm 0.175 0.825 0.750
Sm 0.825 0.175 0.250
In 0.147 0.853 0.250
In 0.853 0.147 0.750
Ga 0.402 0.598 0.750
Ga 0.598 0.402 0.250
Pd 0.241 0.241 0.000
Pd 0.241 0.241 0.500
Pd 0.349 0.651 0.250
Pd 0.651 0.349 0.750
Pd 0.759 0.759 0.000
Pd 0.759 0.759 0.500

***

Entry 6:
The following is a PBE-GGA calculation of a geometry-optimized InMoOs3 structure, from the Alexandria database.

Computed properties:
Space group: Pm-3m (221)

a = 4.701 Å, b = 4.701 Å, c = 4.701 Å
α = 90.00°, β = 90.00°, γ = 90.00°
Positions (direct):
In 0.000 0.000 0.000
Mo 0.500 0.500 0.500
Os 0.000 0.000 0.500
Os 0.000 0.500 0.000
Os 0.500 0.000 0.000

***

Entry 7:
The following is a PBE-GGA calculation of a geometry-optimized CdP3 structure, from the Alexandria database.

Computed properties:
Space group: I4/mmm (139)

a = 3.630 Å, b = 3.630 Å, c = 21.952 Å
α = 90.00°, β = 90.00°, γ = 90.00°
Positions (direct):
Cd 0.000 0.000 0.143
Cd 0.000 0.000 0.857
Cd 0.500 0.500 0.357
Cd 0.500 0.500 0.643
P 0.000 0.000 0.422
P 0.000 0.000 0.578
P 0.000 0.500 0.000
P 0.000 0.500 0.250
P 0.000 0.500 0.500
P 0.000 0.500 0.750
P 0.500 0.000 0.000
P 0.500 0.000 0.250
P 0.500 0.000 0.500
P 0.500 0.000 0.750
P 0.500 0.500 0.078
P 0.500 0.500 0.922

***

Entry 8:
The following is a PBE-GGA calculation of a geometry-optimized Pm2InTe6Pb3 structure, from the Alexandria database.

Computed properties:
Space group: C2/m (12)

a = 10.273 Å, b = 10.273 Å, c = 9.358 Å
α = 103.26°, β = 103.26°, γ = 25.57°
Positions (direct):
Pm 0.168 0.168 0.347
Pm 0.832 0.832 0.653
In 0.500 0.500 0.000
Te 0.007 0.007 0.257
Te 0.327 0.327 0.895
Te 0.331 0.331 0.411
Te 0.669 0.669 0.589
Te 0.673 0.673 0.105
Te 0.993 0.993 0.743
Pb 0.159 0.159 0.848
Pb 0.500 0.500 0.500
Pb 0.841 0.841 0.152

***

Entry 9:
The following is a PBE-GGA calculation of a geometry-optimized KCdSn2Hg structure, from the Alexandria database.

Computed properties:
Space group: I-4m2 (119)

a = 5.002 Å, b = 5.002 Å, c = 12.239 Å
α = 90.00°, β = 90.00°, γ = 90.00°
Positions (direct):
K 0.000 0.000 0.000
K 0.500 0.500 0.500
Cd 0.000 0.500 0.250
Cd 0.500 0.000 0.750
Sn 0.000 0.000 0.382
Sn 0.000 0.000 0.618
Sn 0.500 0.500 0.118
Sn 0.500 0.500 0.882
Hg 0.000 0.500 0.750
Hg 0.500 0.000 0.250

***

Entry 10:
The following is a PBE-GGA calculation of a geometry-optimized NdCd2Pt9 structure, from the Alexandria database.

Computed properties:
Space group: R-3m (166)

a = 9.275 Å, b = 9.275 Å, c = 9.275 Å
α = 33.88°, β = 33.88°, γ = 33.88°
Positions (direct):
Nd 0.000 0.000 0.000
Cd 0.145 0.145 0.145
Cd 0.855 0.855 0.855
Pt 0.081 0.587 0.587
Pt 0.334 0.334 0.334
Pt 0.413 0.413 0.919
Pt 0.413 0.919 0.413
Pt 0.500 0.500 0.500
Pt 0.587 0.081 0.587
Pt 0.587 0.587 0.081
Pt 0.666 0.666 0.666
Pt 0.919 0.413 0.413

***

Entry 11:
The following is a PBE-GGA calculation of a geometry-optimized CdPbBr2 structure, from the Alexandria database.

Computed properties:
Space group: Cmmm (65)

a = 7.055 Å, b = 7.770 Å, c = 4.303 Å
α = 90.00°, β = 90.00°, γ = 90.00°
Positions (direct):
Cd 0.000 0.000 0.000
Cd 0.500 0.500 0.000
Pb 0.000 0.500 0.000
Pb 0.500 0.000 0.000
Br 0.250 0.250 0.500
Br 0.250 0.750 0.500
Br 0.750 0.250 0.500
Br 0.750 0.750 0.500

***

Entry 12:
The following is a PBE-GGA calculation of a geometry-optimized BeSbAu structure, from the Alexandria database.

Computed properties:
Space group: P6_3/mmc (194)

a = 4.022 Å, b = 4.022 Å, c = 9.287 Å
α = 90.00°, β = 90.00°, γ = 120.00°
Positions (direct):
Be 0.000 0.000 0.250
Be 0.000 0.000 0.750
Sb 0.000 0.000 0.000
Sb 0.000 0.000 0.500
Au 0.333 0.667 0.250
Au 0.667 0.333 0.750

***

Entry 13:
The following is a PBE-GGA calculation of a geometry-optimized VCu3H structure, from the Alexandria database.

Computed properties:
Space group: Pm-3m (221)

a = 3.790 Å, b = 3.790 Å, c = 3.790 Å
α = 90.00°, β = 90.00°, γ = 90.00°
Positions (direct):
V 0.000 0.000 0.000
Cu 0.000 0.500 0.500
Cu 0.500 0.000 0.500
Cu 0.500 0.500 0.000
H 0.500 0.500 0.500

***

Entry 14:
The following is a PBE-GGA calculation of a geometry-optimized SrLa2Ir structure, from the Alexandria database.

Computed properties:
Space group: Imm2 (44)

a = 3.679 Å, b = 4.898 Å, c = 15.498 Å
α = 90.00°, β = 90.00°, γ = 90.00°
Positions (direct):
Sr 0.000 0.000 0.000
Sr 0.500 0.500 0.500
La 0.000 0.000 0.326
La 0.000 0.500 0.170
La 0.500 0.000 0.670
La 0.500 0.500 0.826
Ir 0.000 0.500 0.682
Ir 0.500 0.000 0.182

***

Entry 15:
The following is a PBE-GGA calculation of a geometry-optimized CuReRu2 structure, from the Alexandria database.

Computed properties:
Space group: Cmmm (65)

a = 2.824 Å, b = 4.520 Å, c = 8.946 Å
α = 90.00°, β = 90.00°, γ = 90.00°
Positions (direct):
Cu 0.000 0.000 0.000
Cu 0.500 0.500 0.000
Re 0.000 0.000 0.500
Re 0.500 0.500 0.500
Ru 0.000 0.500 0.250
Ru 0.000 0.500 0.750
Ru 0.500 0.000 0.250
Ru 0.500 0.000 0.750

***

Entry 16:
The following is a PBE-GGA calculation of a geometry-optimized Nd2Ni2Ge3 structure, from the Alexandria database.

Computed properties:
Space group: C2/m (12)

a = 10.245 Å, b = 4.153 Å, c = 6.750 Å
α = 90.00°, β = 112.05°, γ = 90.00°
Positions (direct):
Nd 0.149 0.000 0.284
Nd 0.351 0.500 0.716
Nd 0.649 0.500 0.284
Nd 0.851 0.000 0.716
Ni 0.145 0.000 0.768
Ni 0.355 0.500 0.232
Ni 0.645 0.500 0.768
Ni 0.855 0.000 0.232
Ge 0.000 0.500 0.500
Ge 0.116 0.500 0.942
Ge 0.384 0.000 0.058
Ge 0.500 0.000 0.500
Ge 0.616 0.000 0.942
Ge 0.884 0.500 0.058

***

Entry 17:
The following is a PBE-GGA calculation of a geometry-optimized YZr2VS structure, from the Alexandria database.

Computed properties:
Space group: P4/mmm (123)

a = 4.684 Å, b = 4.684 Å, c = 5.754 Å
α = 90.00°, β = 90.00°, γ = 90.00°
Positions (direct):
Y 0.000 0.000 0.000
Zr 0.000 0.500 0.500
Zr 0.500 0.000 0.500
V 0.000 0.000 0.500
S 0.500 0.500 0.000

***

Entry 18:
The following is a PBE-GGA calculation of a geometry-optimized SiAu2Cl structure, from the Alexandria database.

Computed properties:
Space group: I-42d (122)

a = 6.507 Å, b = 6.507 Å, c = 9.063 Å
α = 90.00°, β = 90.00°, γ = 90.00°
Positions (direct):
Si 0.000 0.000 0.000
Si 0.000 0.500 0.250
Si 0.500 0.000 0.750
Si 0.500 0.500 0.500
Au 0.204 0.250 0.125
Au 0.250 0.704 0.375
Au 0.250 0.796 0.875
Au 0.296 0.250 0.625
Au 0.704 0.750 0.625
Au 0.750 0.204 0.875
Au 0.750 0.296 0.375
Au 0.796 0.750 0.125
Cl 0.000 0.000 0.500
Cl 0.000 0.500 0.750
Cl 0.500 0.000 0.250
Cl 0.500 0.500 0.000

***

Entry 19:
The following is a PBE-GGA calculation of a geometry-optimized MnGePd6 structure, from the Alexandria database.

Computed properties:
Space group: P-1 (2)

a = 5.046 Å, b = 5.048 Å, c = 5.062 Å
α = 93.00°, β = 93.11°, γ = 92.99°
Positions (direct):
Mn 0.000 0.000 0.000
Ge 0.500 0.500 0.500
Pd 0.070 0.748 0.438
Pd 0.252 0.562 0.930
Pd 0.439 0.069 0.748
Pd 0.561 0.931 0.252
Pd 0.748 0.438 0.070
Pd 0.930 0.252 0.562

***

Entry 20:
The following is a PBE-GGA calculation of a geometry-optimized Pr2ThIn9 structure, from the Alexandria database.

Computed properties:
Space group: P4/mmm (123)

a = 4.739 Å, b = 4.739 Å, c = 14.228 Å
α = 90.00°, β = 90.00°, γ = 90.00°
Positions (direct):
Pr 0.000 0.000 0.167
Pr 0.000 0.000 0.833
Th 0.000 0.000 0.500
In 0.000 0.500 0.000
In 0.000 0.500 0.333
In 0.000 0.500 0.667
In 0.500 0.000 0.000
In 0.500 0.000 0.333
In 0.500 0.000 0.667
In 0.500 0.500 0.166
In 0.500 0.500 0.500
In 0.500 0.500 0.834

***

Entry 21:
The following is a PBE-GGA calculation of a geometry-optimized Ca3B2Pd9Au structure, from the Alexandria database.

Computed properties:
Space group: P-3m1 (164)

a = 5.822 Å, b = 5.822 Å, c = 9.263 Å
α = 90.00°, β = 90.00°, γ = 120.00°
Positions (direct):
Ca 0.000 0.000 0.000
Ca 0.333 0.667 0.617
Ca 0.667 0.333 0.383
B 0.333 0.667 0.145
B 0.667 0.333 0.855
Pd 0.000 0.500 0.000
Pd 0.164 0.328 0.267
Pd 0.164 0.836 0.267
Pd 0.328 0.164 0.733
Pd 0.500 0.000 0.000
Pd 0.500 0.500 0.000
Pd 0.672 0.836 0.267
Pd 0.836 0.164 0.733
Pd 0.836 0.672 0.733
Au 0.000 0.000 0.500

***

Entry 22:
The following is a PBE-GGA calculation of a geometry-optimized La2Cd2In structure, from the Alexandria database.

Computed properties:
Space group: C2/m (12)

a = 6.335 Å, b = 6.335 Å, c = 10.426 Å
α = 107.94°, β = 107.94°, γ = 46.80°
Positions (direct):
La 0.088 0.088 0.371
La 0.172 0.172 0.053
La 0.828 0.828 0.947
La 0.912 0.912 0.629
Cd 0.391 0.391 0.381
Cd 0.497 0.497 0.142
Cd 0.503 0.503 0.858
Cd 0.609 0.609 0.619
In 0.234 0.234 0.721
In 0.766 0.766 0.279

***

Entry 23:
The following is a PBE-GGA calculation of a geometry-optimized CdCoBr2 structure, from the Alexandria database.

Computed properties:
Space group: P4mm (99)

a = 3.654 Å, b = 3.654 Å, c = 7.403 Å
α = 90.00°, β = 90.00°, γ = 90.00°
Positions (direct):
Cd 0.000 0.000 0.000
Co 0.500 0.500 0.133
Br 0.000 0.000 0.366
Br 0.500 0.500 0.801

***

Entry 24:
The following is a PBE-GGA calculation of a geometry-optimized VHgSe2N structure, from the Alexandria database.

Computed properties:
Space group: P4/mmm (123)

a = 5.074 Å, b = 5.074 Å, c = 3.665 Å
α = 90.00°, β = 90.00°, γ = 90.00°
Positions (direct):
V 0.000 0.000 0.000
Hg 0.500 0.500 0.500
Se 0.000 0.500 0.000
Se 0.500 0.000 0.000
N 0.000 0.000 0.500

***

Entry 25:
The following is a PBE-GGA calculation of a geometry-optimized Li2CoPb structure, from the Alexandria database.

Computed properties:
Space group: Pmmm (47)

a = 3.838 Å, b = 3.870 Å, c = 4.330 Å
α = 90.00°, β = 90.00°, γ = 90.00°
Positions (direct):
Li 0.000 0.000 0.000
Li 0.500 0.500 0.000
Co 0.000 0.500 0.500
Pb 0.500 0.000 0.500

***

For reference, calculated total energy by record: -83.00 -104.20 -38.16 -11.78 -58.71 -31.97 -61.81 -50.80 -22.18 -66.41 -18.56 -19.93 -23.05 -42.75 -67.21 -77.63 -34.48 -55.19 -46.26 -46.90 -77.36 -32.62 -10.71 -24.40 -14.29 eV for the cell shown.
For reference, M_tot by record: 0.000 0.000 0.000 0.000 0.000 0.000 0.000 0.000 0.000 0.000 0.000 0.000 2.706 0.000 0.009 0.000 0.000 0.000 4.435 0.000 0.000 0.000 1.041 0.001 0.912 μB per cell.